Entry 1:
The following is a DFT calculation (GGA-PBE) of a relaxed Ce2ErSe2N2 crystal.

Cell and atoms, written as POSCAR:
```
Ce2ErSe2N2
1.0
3.9250 0.0000 0.0000
1.9625 6.2219 0.0358
1.9625 2.3863 6.0825
Ce Er Se N
2 1 2 2
Direct
0.1965 0.3639 0.2431
0.8035 0.6361 0.7569
0.0000 0.0000 0.0000
0.5680 0.1972 0.6668
0.4320 0.8028 0.3332
0.2028 0.6765 0.9179
0.7972 0.3235 0.0821
```

Results
volume: 21.17 Å³ per atom
electronic total energy: -7.50 eV/atom
total magnetic moment: 1.060 μB per formula unit
formation energy (no corrections): -1.779 eV per atom

=====

Entry 2:
The following is a DFT calculation (GGA-PBE) of a relaxed BeSn2Pb2 crystal.

Cell and atoms, written as POSCAR:
```
BeSn2Pb2
1.0
-4.7411 -4.4367 -2.3854
-0.1170 -3.1779 6.1433
-4.1448 3.4985 1.7309
Pb Be Sn
4 2 4
Direct
0.3383 0.8383 0.0000
0.8383 0.6617 0.0000
0.6617 0.1617 0.0000
0.1617 0.3383 0.0000
0.0000 0.0000 0.0000
0.5000 0.5000 0.0000
0.1749 0.6749 0.5000
0.6749 0.8251 0.5000
0.8251 0.3251 0.5000
0.3251 0.1749 0.5000
```

Results
distance to the lowest polymorph of the same formula: 0.1678 eV per atom
volume: 27.24 Å³ per atom
electronic total energy: -3.41 eV/atom
total magnetic moment: 0.000 μB per formula unit
formation energy from the elements: 2.07 eV/f.u.

=====

Entry 3:
The following is a DFT calculation (GGA-PBE) of a relaxed CoWBr2 crystal.

Cell and atoms, written as POSCAR:
```
CoWBr2
1.0
-2.6851 1.5503 0.8398
-1.3673 -2.8247 0.8430
2.2072 -0.6106 8.1843
Br Co W
2 1 1
Direct
0.0000 0.8437 0.9191
0.5000 0.1399 0.3620
0.0000 0.5444 0.5413
0.5000 0.9720 0.6777
```

Results
distance to the lowest polymorph of the same formula: 0.0000 eV per atom
volume: 21.72 Å³ per atom
electronic total energy: -5.67 eV/atom
total magnetic moment: 0.678 μB per formula unit
formation energy (no corrections): 0.182 eV per atom

=====

Entry 4:
The following is a DFT calculation (GGA-PBE) of a relaxed AcTb2TmSe4 crystal.

Cell and atoms, written as POSCAR:
```
AcTb2TmSe4
1.0
-2.0245 3.4747 -0.7390
-3.3237 -0.6035 6.2675
4.0930 3.4874 5.1845
Ac Tb Tm Se
1 2 1 4
Direct
0.5000 0.5000 0.0000
0.0000 0.0000 0.0000
0.5000 0.0000 0.5000
0.0000 0.5000 0.5000
0.0000 0.7641 0.7281
0.0000 0.2359 0.2719
0.5000 0.7513 0.2658
0.5000 0.2487 0.7342
```

Results
volume: 25.79 Å³ per atom
electronic total energy: -5.70 eV/atom
total magnetic moment: 0.000 μB per formula unit
formation energy (no corrections): -1.728 eV per atom

=====

Entry 5:
The following is a DFT calculation (GGA-PBE) of a relaxed YScSiNi crystal.

Cell and atoms, written as POSCAR:
```
YScSiNi
1.0
-0.7687 4.5334 -1.1446
-2.7036 1.0735 -3.7404
-4.2868 1.9127 0.6461
Y Ni Si Sc
1 1 1 1
Direct
0.2500 0.2500 0.2500
0.0000 0.0000 0.0000
0.5000 0.5000 0.5000
0.7500 0.7500 0.7500
```

Results
volume: 18.81 Å³ per atom
electronic total energy: -6.51 eV/atom
total magnetic moment: 0.000 μB per formula unit
formation energy (no corrections): -0.506 eV per atom

=====

Entry 6:
The following is a DFT calculation (GGA-PBE) of a relaxed Sm3AuI3 crystal.

Cell and atoms, written as POSCAR:
```
Sm3AuI3
1.0
10.2279 0.0000 -3.6161
-5.1139 8.8576 -3.6161
0.0000 0.0000 10.8483
Sm Au I
12 4 12
Direct
0.9646 0.4823 0.2323
0.5177 0.0354 0.2677
0.2500 0.0177 0.4823
0.9823 0.7500 0.0177
0.9823 0.2323 0.4646
0.7677 0.0177 0.0354
0.7323 0.4646 0.4823
0.7677 0.7500 0.2323
0.5354 0.2677 0.0177
0.2500 0.2323 0.2677
0.7323 0.2677 0.7500
0.5177 0.4823 0.7500
0.7500 0.5000 0.0000
0.5000 0.2500 0.5000
0.7500 0.2500 0.2500
0.0000 0.0000 0.2500
0.2428 0.9928 0.9856
0.7500 0.7572 0.7428
0.4856 0.7428 0.9928
0.0072 0.2500 0.9928
0.2572 0.7428 0.2500
0.4928 0.5072 0.2500
0.2428 0.2500 0.7572
0.2572 0.5144 0.5072
0.7500 0.9928 0.5072
0.0144 0.5072 0.7572
0.0072 0.7572 0.5144
0.4928 0.9856 0.7428
```

Results
volume: 35.10 Å³ per atom
electronic total energy: -4.23 eV/atom
total magnetic moment: 0.000 μB per formula unit
formation energy (no corrections): -1.070 eV per atom

=====

Entry 7:
The following is a DFT calculation (GGA-PBE) of a relaxed YHoHgPt crystal.

Cell and atoms, written as POSCAR:
```
YHoHgPt
1.0
-0.2553 2.0809 2.8922
-0.7653 -2.8639 1.9930
7.1589 -0.9818 1.3383
Y Ho Hg Pt
1 1 1 1
Direct
0.5000 0.5000 0.1296
0.5000 0.5000 0.5820
0.0000 0.0000 0.8537
0.0000 0.0000 0.3627
```

Results
distance to the lowest polymorph of the same formula: 0.0000 eV per atom
volume: 23.44 Å³ per atom
electronic total energy: -5.22 eV/atom
total magnetic moment: 0.000 μB per formula unit
formation energy from the elements: -3.48 eV/f.u.

=====

Entry 8:
The following is a DFT calculation (GGA-PBE) of a relaxed Be2BiBr crystal.

Cell and atoms, written as POSCAR:
```
Be2BiBr
1.0
5.6465 0.0000 0.0000
0.0000 5.6465 0.0000
2.8232 2.8232 5.7787
Be Bi Br
4 2 2
Direct
0.6269 0.1250 0.2500
0.1231 0.6250 0.2500
0.3750 0.3731 0.7500
0.8750 0.8769 0.7500
0.0000 0.0000 0.0000
0.7500 0.2500 0.5000
0.5000 0.5000 0.0000
0.2500 0.7500 0.5000
```

Results
distance to the lowest polymorph of the same formula: 0.0000 eV per atom
volume: 23.03 Å³ per atom
electronic total energy: -3.10 eV/atom
total magnetic moment: 0.000 μB per formula unit
formation energy (no corrections): 0.147 eV per atom

=====

Question: Which value of electronic total energy does entry 6 give?
Answer: -4.23 eV/atom